The following is a DFT calculation (PBE-GGA) of an optimized crystal structure of Co2MoAsRu.

As for the theoretical density: 8.0 g/cm3. The calculation puts the energy of formation from the pure elements at 99.8 kJ/mol of atoms. The calculation puts the density of states at the Fermi level at 6.76 states/eV per cell. The total energy comes out at -6.759 eV per atom. The volume is 81 Å³/f.u.

The structure belongs to space group P4/mmm (No. 123); the cell edges are 4.247, 4.247 and 4.502 Å and the angles 90.00°, 90.00° and 90.00°. The asymmetric unit holds Co at (0.000, 0.500, 0.000), Mo at (0.000, 0.000, 0.500), As at (0.500, 0.500, 0.000) and Ru at (0.500, 0.500, 0.500).

The following is a DFT calculation (PBE-GGA) of an optimized crystal structure of SrEu2Tm.

As for the theoretical density: 5.8 g/cm3. The calculation puts the energy of formation from the pure elements at 15.9 kJ/mol of atoms. For the energy above the most stable polymorph in this dataset, the calculation gives 70.2 meV per atom. The calculation puts the density of states at the Fermi level at 14.85 states/eV per cell. The total energy comes out at -6.511 eV per atom. The volume is 161 Å³/f.u.

The structure belongs to space group Fm-3m (No. 225); the cell edges are 8.631, 8.631 and 8.631 Å and the angles 90.00°, 90.00° and 90.00°. The asymmetric unit holds Sr at (0.000, 0.000, 0.000), Eu at (0.250, 0.250, 0.250) and Tm at (0.000, 0.000, 0.500).

The following is a DFT calculation (PBE-GGA) of an optimized crystal structure of CaRuI2O.

As for the theoretical density: 4.5 g/cm3. For the energy above the most stable polymorph in this dataset, the calculation gives 768.2 meV per atom. The calculation puts the density of states at the Fermi level at 8.38 states/eV per cell. The total energy comes out at -3.761 eV per atom. The volume is 152 Å³/f.u. For the formation energy from raw total energies, the calculation gives 0.106 eV/atom.

The structure belongs to space group P4/mmm (No. 123); the cell edges are 6.068, 6.068 and 4.119 Å and the angles 90.00°, 90.00° and 90.00°. The asymmetric unit holds Ca at (0.000, 0.000, 0.000), Ru at (0.500, 0.500, 0.500), I at (0.000, 0.500, 0.000) and O at (0.000, 0.000, 0.500).

The following is a DFT calculation (PBE-GGA) of an optimized crystal structure of Ba2Tl6Rh.

As for the theoretical density: 9.6 g/cm3. The calculation puts the energy of formation from the pure elements at -24.5 kJ/mol of atoms. For the energy above the most stable polymorph in this dataset, the calculation gives 0.0 meV per atom. The calculation puts the density of states at the Fermi level at 5.12 states/eV per cell. The total energy comes out at -3.076 eV per atom. The volume is 276 Å³/f.u.

The structure belongs to space group P-3m1 (No. 164); the cell edges are 7.2315, 7.2315 and 6.1035 Å and the angles 90.00°, 90.00° and 120.00°. The asymmetric unit holds Ba at (0.3333, 0.6667, 0.2158), Tl at (0.1686, 0.3371, 0.7066) and Rh at (0.0000, 0.0000, 0.0000).

The following is a DFT calculation (PBE-GGA) of an optimized crystal structure of Li2InOs.

As for the theoretical density: 8.3 g/cm3. The calculation puts the energy of formation from the pure elements at 14.8 kJ/mol of atoms. The calculation puts the density of states at the Fermi level at 2.17 states/eV per cell. The total energy comes out at -4.296 eV per atom. The volume is 64 Å³/f.u.

The structure belongs to space group P2/m (No. 10); the cell edges are 2.787, 4.683 and 4.928 Å and the angles 90.00°, 93.67° and 90.00°. The asymmetric unit holds Li at (0.236, 0.000, 0.213), In at (0.000, 0.500, 0.500) and Os at (0.500, 0.500, 0.000).

The following is a DFT calculation (PBE-GGA) of an optimized crystal structure of Sc4GeP2.

As for the theoretical density: 3.7 g/cm3. The calculation puts the energy of formation from the pure elements at -108.9 kJ/mol of atoms. The calculation puts the density of states at the Fermi level at 21.00 states/eV per cell. The total energy comes out at -6.952 eV per atom. The volume is 143 Å³/f.u.

The structure belongs to space group Cmcm (No. 63); the cell edges are 3.752, 12.212 and 12.469 Å and the angles 90.00°, 90.00° and 90.00°. The asymmetric unit holds Sc at (0.000, 0.000, 0.000), Sc at (0.000, 0.270, 0.121), Sc at (0.000, 0.448, 0.750), Ge at (0.000, 0.112, 0.750) and P at (0.000, 0.365, 0.561).

The following is a DFT calculation (PBE-GGA) of an optimized crystal structure of K2SbTeO6.

As for the theoretical density: 5.2 g/cm3. The calculation puts the density of states at the Fermi level at 2.20 states/eV per cell. The total energy comes out at -5.281 eV per atom. The volume is 135 Å³/f.u. For the formation energy from raw total energies, the calculation gives -1.360 eV/atom.

The structure belongs to space group Fm-3m (No. 225); the cell edges are 8.152, 8.152 and 8.152 Å and the angles 90.00°, 90.00° and 90.00°. The asymmetric unit holds K at (0.250, 0.250, 0.250), Sb at (0.000, 0.000, 0.000), Te at (0.000, 0.000, 0.500) and O at (0.000, 0.000, 0.252).

The following is a DFT calculation (PBE-GGA) of an optimized crystal structure of Hf3CoOs.

As for the theoretical density: 13.0 g/cm3. The calculation puts the energy of formation from the pure elements at 42.2 kJ/mol of atoms. For the energy above the most stable polymorph in this dataset, the calculation gives 0.0 meV per atom. The calculation puts the density of states at the Fermi level at 6.50 states/eV per cell. The total energy comes out at -9.202 eV per atom. The volume is 100 Å³/f.u.

The structure belongs to space group Pm-3m (No. 221); the cell edges are 4.646, 4.646 and 4.646 Å and the angles 90.00°, 90.00° and 90.00°. The asymmetric unit holds Hf at (0.000, 0.000, 0.500), Co at (0.000, 0.000, 0.000) and Os at (0.500, 0.500, 0.500).